[1]
GGA-PBE Dy4Ag2Pd, optimized geometry; electronic total energy = -31.6 eV/cell; DOS(E_F) = 6.5 states/eV/f.u.; calculated formation energy = -0.33 eV per atom
1.0
2.520 1.455 8.244
-2.520 1.455 8.244
0.000 -2.910 8.244
Dy Ag Pd
4 2 1
Direct
0.124 0.124 0.124
0.374 0.374 0.374
0.626 0.626 0.626
0.876 0.876 0.876
0.247 0.247 0.247
0.753 0.753 0.753
0.000 0.000 0.000


[2]
GGA-PBE ScHgCl2, optimized geometry; electronic total energy = -12.5 eV/cell; DOS(E_F) = 4.8 states/eV/f.u.
1.0
0.000 3.567 3.567
3.567 0.000 3.567
3.567 3.567 0.000
Sc Hg Cl
1 1 2
Direct
0.000 0.000 0.000
0.250 0.250 0.250
0.500 0.500 0.500
0.750 0.750 0.750


[3]
GGA-PBE Cu2GeH, optimized geometry; electronic total energy = -30.5 eV/cell; DOS(E_F) = 1.0 states/eV/f.u.
1.0
-2.478 2.478 4.047
2.478 -2.478 4.047
2.478 2.478 -4.047
Cu Ge H
4 2 2
Direct
0.375 0.237 0.362
0.763 0.125 0.138
0.875 0.013 0.638
0.987 0.625 0.862
0.250 0.750 0.500
0.500 0.500 0.000
0.000 0.000 0.000
0.750 0.250 0.500


[4]
GGA-PBE ReTe2Ir, optimized geometry; electronic total energy = -24.8 eV/cell; DOS(E_F) = 3.1 states/eV/f.u.
1.0
3.388 0.000 0.000
0.000 3.388 0.000
0.000 0.000 6.517
Re Te Ir
1 2 1
Direct
0.000 0.000 0.000
0.500 0.500 0.250
0.500 0.500 0.750
0.000 0.000 0.500


[5]
GGA-PBE Ni2OsSe, optimized geometry; electronic total energy = -24.0 eV/cell; DOS(E_F) = 6.0 states/eV/f.u.
1.0
-1.848 1.848 3.907
1.848 -1.848 3.907
1.848 1.848 -3.907
Ni Os Se
2 1 1
Direct
0.250 0.750 0.500
0.750 0.250 0.500
0.000 0.000 0.000
0.500 0.500 0.000


[6]
GGA-PBE ScAl2Co, optimized geometry; electronic total energy = -21.5 eV/cell; DOS(E_F) = 2.7 states/eV/f.u.; calculated formation energy = -0.13 eV per atom
1.0
4.912 -2.415 0.000
4.912 2.415 0.000
-0.015 0.000 2.877
Sc Al Co
1 2 1
Direct
0.000 0.000 0.000
0.307 0.307 0.496
0.693 0.693 0.504
0.500 0.500 0.000


[7]
GGA-PBE VSnGe2, optimized geometry; electronic total energy = -22.0 eV/cell; DOS(E_F) = 2.7 states/eV/f.u.; calculated formation energy = 0.09 eV per atom
1.0
1.554 0.897 9.176
-1.554 0.897 9.176
0.000 -1.794 9.176
V Sn Ge
1 1 2
Direct
0.000 0.000 0.000
0.500 0.500 0.500
0.399 0.399 0.399
0.601 0.601 0.601


[8]
GGA-PBE Cs2AlInB, optimized geometry; electronic total energy = -8.9 eV/cell; DOS(E_F) = 5.8 states/eV/f.u.; calculated formation energy = 1.20 eV per atom
1.0
7.334 0.000 0.000
0.000 7.334 0.000
0.000 0.000 5.093
Cs Al In B
2 1 1 1
Direct
0.000 0.500 0.000
0.500 0.000 0.000
0.000 0.000 0.000
0.000 0.000 0.500
0.500 0.500 0.500


[9]
GGA-PBE TlCuSbI2, optimized geometry; electronic total energy = -11.1 eV/cell; DOS(E_F) = 3.5 states/eV/f.u.
1.0
6.033 0.000 0.000
0.000 6.033 0.000
0.000 0.000 6.273
Tl Cu Sb I
1 1 1 2
Direct
0.000 0.000 0.000
0.500 0.500 0.000
0.000 0.000 0.500
0.000 0.500 0.500
0.500 0.000 0.500


[10]
GGA-PBE TbPrS, optimized geometry; electronic total energy = -34.2 eV/cell; DOS(E_F) = 2.2 states/eV/f.u.
1.0
1.953 1.127 13.211
-1.953 1.127 13.211
0.000 -2.255 13.211
Tb Pr S
2 2 2
Direct
0.043 0.043 0.043
0.957 0.957 0.957
0.208 0.208 0.208
0.792 0.792 0.792
0.414 0.414 0.414
0.586 0.586 0.586


[11]
GGA-PBE La6Pr4Tm, optimized geometry; electronic total energy = -50.4 eV/cell; DOS(E_F) = 19.0 states/eV/f.u.; calculated formation energy = 0.25 eV per atom
1.0
-3.508 3.508 8.262
3.508 -3.508 8.262
3.508 3.508 -8.262
La Pr Tm
6 4 1
Direct
0.000 0.500 0.500
0.005 0.631 0.000
0.369 0.369 0.373
0.500 0.000 0.500
0.631 0.005 0.000
0.995 0.995 0.627
0.222 0.222 0.662
0.440 0.778 0.000
0.560 0.560 0.338
0.778 0.440 0.000
0.000 0.000 0.000


[12]
GGA-PBE Li2BBr, optimized geometry; electronic total energy = -22.1 eV/cell; DOS(E_F) = 1.2 states/eV/f.u.
1.0
-3.357 3.357 3.067
3.357 -3.357 3.067
3.357 3.357 -3.067
Li B Br
4 2 2
Direct
0.111 0.625 0.986
0.375 0.361 0.486
0.639 0.125 0.014
0.875 0.889 0.514
0.000 0.000 0.000
0.750 0.250 0.500
0.250 0.750 0.500
0.500 0.500 0.000


[13]
GGA-PBE Y2GaAu3, optimized geometry; electronic total energy = -29.9 eV/cell; DOS(E_F) = 3.3 states/eV/f.u.; calculated formation energy = -0.69 eV per atom
1.0
-1.908 2.055 8.740
1.908 -2.055 8.740
1.908 2.055 -8.740
Y Ga Au
2 1 3
Direct
0.000 0.000 0.000
0.747 0.247 0.500
0.582 0.582 0.000
0.165 0.665 0.500
0.322 0.822 0.500
0.434 0.434 0.000


[14]
GGA-PBE ZnSb2TeMo, optimized geometry; electronic total energy = -18.0 eV/cell; DOS(E_F) = 4.0 states/eV/f.u.
1.0
5.114 0.000 0.000
0.000 5.114 0.000
0.000 0.000 5.322
Zn Sb Te Mo
1 2 1 1
Direct
0.000 0.000 0.000
0.000 0.500 0.000
0.500 0.000 0.000
0.000 0.000 0.500
0.500 0.500 0.500


[15]
GGA-PBE TiNbCu, optimized geometry; electronic total energy = -21.5 eV/cell; DOS(E_F) = 3.4 states/eV/f.u.; calculated formation energy = 0.20 eV per atom
1.0
4.600 0.000 0.000
-2.300 3.983 0.000
0.000 0.000 2.615
Ti Nb Cu
1 1 1
Direct
0.000 0.000 0.000
0.667 0.333 0.456
0.333 0.667 0.850


[16]
GGA-PBE NdNpCrN3, optimized geometry; electronic total energy = -115.7 eV/cell; DOS(E_F) = 7.0 states/eV/f.u.
1.0
7.309 0.000 0.000
0.000 3.353 0.000
-1.455 0.000 7.222
Nd Np Cr N
2 2 2 6
Direct
0.202 0.250 0.177
0.798 0.750 0.823
0.176 0.250 0.653
0.824 0.750 0.347
0.414 0.750 0.915
0.586 0.250 0.085
0.133 0.750 0.432
0.149 0.750 0.875
0.473 0.750 0.182
0.527 0.250 0.818
0.851 0.250 0.125
0.867 0.250 0.568


[17]
GGA-PBE PmUSi2O8, optimized geometry; electronic total energy = -103.3 eV/cell; DOS(E_F) = 3.3 states/eV/f.u.
1.0
-3.514 3.514 3.120
3.514 -3.514 3.120
3.514 3.514 -3.120
Pm U Si O
1 1 2 8
Direct
0.000 0.000 0.000
0.750 0.250 0.500
0.250 0.750 0.500
0.500 0.500 0.000
0.074 0.400 0.326
0.074 0.748 0.674
0.151 0.336 0.814
0.252 0.926 0.326
0.522 0.336 0.186
0.600 0.926 0.674
0.664 0.478 0.814
0.664 0.849 0.186


[18]
GGA-PBE FeGeN2, optimized geometry; electronic total energy = -28.4 eV/cell; DOS(E_F) = 2.1 states/eV/f.u.
1.0
1.426 0.824 5.937
-1.426 0.824 5.937
0.000 -1.647 5.937
Fe Ge N
1 1 2
Direct
0.000 0.000 0.000
0.500 0.500 0.500
0.391 0.391 0.391
0.609 0.609 0.609


[19]
GGA-PBE SrBeRu2, optimized geometry; electronic total energy = -20.7 eV/cell; DOS(E_F) = 5.2 states/eV/f.u.; calculated formation energy = 0.81 eV per atom
1.0
4.767 0.000 0.000
0.000 2.949 0.000
-1.565 0.000 4.712
Sr Be Ru
1 1 2
Direct
0.000 0.000 0.000
0.000 0.500 0.500
0.500 0.000 0.500
0.500 0.500 0.000


[20]
GGA-PBE TmAgPtRh, optimized geometry; electronic total energy = -23.1 eV/cell; DOS(E_F) = 1.6 states/eV/f.u.; calculated formation energy = -0.59 eV per atom
1.0
0.000 3.294 3.294
3.294 0.000 3.294
3.294 3.294 0.000
Tm Ag Pt Rh
1 1 1 1
Direct
0.000 0.000 0.000
0.500 0.500 0.500
0.750 0.750 0.750
0.250 0.250 0.250


[21]
GGA-PBE Pu2AlOs, optimized geometry; electronic total energy = -43.9 eV/cell; DOS(E_F) = 10.7 states/eV/f.u.; calculated formation energy = -0.07 eV per atom
1.0
3.712 0.000 0.000
0.000 3.712 0.000
0.000 0.000 5.845
Pu Al Os
2 1 1
Direct
0.000 0.000 0.242
0.000 0.000 0.758
0.500 0.500 0.500
0.500 0.500 0.000


[22]
GGA-PBE ZrZn2GeIr, optimized geometry; electronic total energy = -16.7 eV/cell; DOS(E_F) = 6.4 states/eV/f.u.; calculated formation energy = 1.57 eV per atom
1.0
4.955 0.000 0.000
0.000 4.955 0.000
0.000 0.000 5.027
Zr Zn Ge Ir
1 2 1 1
Direct
0.000 0.000 0.000
0.000 0.500 0.000
0.500 0.000 0.000
0.000 0.000 0.500
0.500 0.500 0.500


[23]
GGA-PBE Zn6InGa12, optimized geometry; electronic total energy = -45.7 eV/cell; DOS(E_F) = 4.8 states/eV/f.u.; calculated formation energy = 0.05 eV per atom
1.0
6.027 3.480 2.862
-6.027 3.480 2.862
0.000 -6.960 2.862
Zn In Ga
6 1 12
Direct
0.303 0.303 0.696
0.303 0.696 0.303
0.304 0.697 0.697
0.696 0.303 0.303
0.697 0.304 0.697
0.697 0.697 0.304
0.000 0.000 0.000
0.108 0.357 0.357
0.115 0.500 0.885
0.115 0.885 0.500
0.357 0.108 0.357
0.357 0.357 0.108
0.500 0.115 0.885
0.500 0.885 0.115
0.643 0.643 0.892
0.643 0.892 0.643
0.885 0.115 0.500
0.885 0.500 0.115
0.892 0.643 0.643


[24]
GGA-PBE Th2GeAs3Ir4, optimized geometry; electronic total energy = -76.7 eV/cell; DOS(E_F) = 2.2 states/eV/f.u.; calculated formation energy = -0.79 eV per atom
1.0
4.239 0.000 0.000
0.000 4.239 0.000
0.000 0.000 10.390
Th Ge As Ir
2 1 3 4
Direct
0.000 0.500 0.247
0.500 0.000 0.753
0.000 0.000 0.500
0.000 0.500 0.861
0.500 0.000 0.139
0.500 0.500 0.500
0.000 0.000 0.000
0.000 0.500 0.628
0.500 0.000 0.372
0.500 0.500 0.000


[25]
GGA-PBE PmDy2Tl, optimized geometry; electronic total energy = -17.1 eV/cell; DOS(E_F) = 5.5 states/eV/f.u.; calculated formation energy = -0.19 eV per atom
1.0
4.907 0.000 0.000
0.000 4.907 0.000
0.000 0.000 4.855
Pm Dy Tl
1 2 1
Direct
0.000 0.000 0.000
0.000 0.500 0.500
0.500 0.000 0.500
0.500 0.500 0.000


[26]
GGA-PBE Tb3Ce2TmS6, optimized geometry; electronic total energy = -79.1 eV/cell; DOS(E_F) = 12.8 states/eV/f.u.
1.0
8.600 -1.966 0.000
8.600 1.966 0.000
-1.836 0.000 7.711
Tb Ce Tm S
3 2 1 6
Direct
0.000 0.000 0.000
0.332 0.332 0.668
0.668 0.668 0.332
0.332 0.332 0.164
0.668 0.668 0.836
0.000 0.000 0.500
0.164 0.164 0.089
0.164 0.164 0.576
0.498 0.498 0.743
0.502 0.502 0.257
0.836 0.836 0.424
0.836 0.836 0.911